# 1
The following is a GGA-PBE calculation of a geometry-optimized NaPd6Se8 structure, from the Alexandria database.

Lattice parameters (Å, degrees): 6.8911 6.8911 6.8911 89.91 89.91 89.91
Last column: nearest neighbours and their distance in Å.
Fractional coordinates of all 15 atoms:
Na: 0.0000 0.0000 0.0000  8 Se 2.92-3.26
Pd: 0.5825 0.4405 0.8086  5 Se 2.51-2.65
Pd: 0.4405 0.8086 0.5825  5 Se 2.51-2.65
Pd: 0.8086 0.5825 0.4405  5 Se 2.51-2.65
Pd: 0.4175 0.5595 0.1914  5 Se 2.51-2.65
Pd: 0.5595 0.1914 0.4175  5 Se 2.51-2.65
Pd: 0.1914 0.4175 0.5595  5 Se 2.51-2.65
Se: 0.7557 0.7557 0.7557  3 Pd 2.51
Se: 0.2443 0.2443 0.2443  3 Pd 2.51
Se: 0.6353 0.8484 0.2598  4 Pd 2.52-2.65
Se: 0.8484 0.2598 0.6353  4 Pd 2.52-2.65
Se: 0.2598 0.6353 0.8484  4 Pd 2.52-2.65
Se: 0.3647 0.1516 0.7402  4 Pd 2.52-2.65
Se: 0.1516 0.7402 0.3647  4 Pd 2.52-2.65
Se: 0.7402 0.3647 0.1516  4 Pd 2.52-2.65

* final energy: -4.35 eV per atom
* ΔE_f (raw): -330.3 meV/atom
* space group: R-3, No. 148

# 2
The following is a GGA-PBE calculation of a geometry-optimized Ba2NaCdH structure, from the Alexandria database.

Lattice parameters (Å, degrees): 5.7148 5.7148 5.0349 90.00 90.00 90.00
Last column: nearest neighbours and their distance in Å.
Fractional coordinates of all 5 atoms:
Na: 0.5000 0.5000 0.5000  8 Ba 3.81, 4 Cd 4.04
Ba: 0.0000 0.5000 0.0000  2 H 2.86
Ba: 0.5000 0.0000 0.0000  2 H 2.86
H: 0.0000 0.0000 0.0000  2 Cd 2.52
Cd: 0.0000 0.0000 0.5000  2 H 2.52

* final energy: -2.03 eV per atom
* energy relative to the lowest polymorph listed for this composition: 0.107 eV per atom
* space group: P4/mmm, No. 123

# 3
The following is a GGA-PBE calculation of a geometry-optimized Lu3In structure, from the Alexandria database.

Lattice parameters (Å, degrees): 4.7476 4.7476 4.7476 90.00 90.00 90.00
Last column: nearest neighbours and their distance in Å.
Fractional coordinates of all 4 atoms:
Lu: 0.0000 0.5000 0.5000  4 In 3.36, 8 Lu 3.36
Lu: 0.5000 0.0000 0.5000  4 In 3.36, 8 Lu 3.36
Lu: 0.5000 0.5000 0.0000  4 In 3.36, 8 Lu 3.36
In: 0.0000 0.0000 0.0000  12 Lu 3.36

* formation energy from the elements: -0.248 eV per atom
* final energy: -4.32 eV per atom
* space group: Pm-3m, No. 221

# 4
The following is a GGA-PBE calculation of a geometry-optimized Sr4SiI3 structure, from the Alexandria database.

Lattice parameters (Å, degrees): 8.1867 8.3533 9.5823 90.00 90.00 109.13
Last column: nearest neighbours and their distance in Å.
Fractional coordinates of all 16 atoms:
I: 0.7500 0.0000 0.3785  6 Sr 3.38-3.46
I: 0.2500 0.0000 0.6215  6 Sr 3.38-3.46
I: 0.7500 0.5000 0.6122  6 Sr 3.39-3.79
I: 0.7500 0.5000 0.1325  6 Sr 3.37-3.68
I: 0.2500 0.5000 0.3878  6 Sr 3.39-3.79
I: 0.2500 0.5000 0.8675  6 Sr 3.37-3.68
Sr: 0.9700 0.2231 0.6533  1 Si 3.00
Sr: 0.5011 0.2077 0.8987  2 Si 3.09-3.11, 2 I 3.45-3.46
Sr: 0.4700 0.2231 0.3467  1 Si 3.00
Sr: 0.0011 0.2077 0.1013  2 Si 3.09-3.11, 2 I 3.45-3.46
Sr: 0.9989 0.7923 0.8987  2 Si 3.09-3.11, 2 I 3.45-3.46
Sr: 0.5300 0.7769 0.6533  1 Si 3.00
Sr: 0.4989 0.7923 0.1013  2 Si 3.09-3.11, 2 I 3.45-3.46
Sr: 0.0300 0.7769 0.3467  1 Si 3.00
Si: 0.7500 0.0000 0.8735  6 Sr 3.00-3.11
Si: 0.2500 0.0000 0.1265  6 Sr 3.00-3.11

* final energy: -3.18 eV per atom
* ΔE_f (raw): -1077.0 meV/atom
* space group: P2/c, No. 13

# 5
The following is a GGA-PBE calculation of a geometry-optimized LiAlC structure, from the Alexandria database.

Lattice parameters (Å, degrees): 5.0890 3.9461 3.9461 86.82 90.00 90.00
Last column: nearest neighbours and their distance in Å.
Fractional coordinates of all 6 atoms:
C: 0.2610 0.9242 0.5758  2 Al 1.90
C: 0.7390 0.4242 0.0758  2 Al 1.90
Al: 0.0016 0.6726 0.8274  2 C 1.90
Al: 0.9984 0.1726 0.3274  2 C 1.90
Li: 0.5000 0.4249 0.5751  4 C 2.32
Li: 0.5000 0.9249 0.0751  4 C 2.32

* formation energy from the elements: 0.393 eV per atom
* final energy: -4.57 eV per atom
* space group: Aem2, No. 39

# 6
The following is a GGA-PBE calculation of a geometry-optimized La2CrGa structure, from the Alexandria database.

Lattice parameters (Å, degrees): 8.1342 8.1342 6.4477 50.89 50.89 90.00
Last column: nearest neighbours and their distance in Å.
Fractional coordinates of all 8 atoms:
Cr: 0.5000 0.5000 0.0000  4 La 2.65, 2 Ga 2.91
Cr: 0.2500 0.7500 0.5000  4 La 2.65, 2 Ga 2.91
Ga: 0.0000 0.0000 0.0000  2 Cr 2.91
Ga: 0.7500 0.2500 0.5000  2 Cr 2.91
La: 0.5631 0.1250 0.2500  2 Cr 2.65
La: 0.1869 0.6250 0.2500  2 Cr 2.65
La: 0.3750 0.4369 0.7500  2 Cr 2.65
La: 0.8750 0.8131 0.7500  2 Cr 2.65

* formation energy from the elements: 0.433 eV per atom
* final energy: -5.19 eV per atom
* space group: I-42d, No. 122

# 7
The following is a GGA-PBE calculation of a geometry-optimized TmB2Rh4 structure, from the Alexandria database.

Lattice parameters (Å, degrees): 5.5244 5.5244 7.9903 98.19 98.18 125.85
Last column: nearest neighbours and their distance in Å.
Fractional coordinates of all 14 atoms:
B: 0.7419 0.0438 0.5000  1 B 1.96, 4 Rh 2.09-2.12
B: 0.5428 0.2429 0.5000  1 B 1.96, 4 Rh 2.09-2.12
B: 0.2938 0.4919 0.0000  1 B 1.96, 4 Rh 2.09-2.12
B: 0.4929 0.2928 0.0000  1 B 1.96, 4 Rh 2.09-2.12
Tm: 0.1426 0.6430 0.5000  4 B 2.70, 6 Rh 2.89-2.95
Tm: 0.8931 0.8927 0.0000  4 B 2.70, 6 Rh 2.89-2.95
Rh: 0.6984 0.6991 0.6110  2 B 2.12
Rh: 0.2711 0.2706 0.7568  2 B 2.09
Rh: 0.0866 0.0872 0.3890  2 B 2.12
Rh: 0.5207 0.0211 0.2568  2 B 2.09
Rh: 0.7646 0.2651 0.7432  2 B 2.09
Rh: 0.5150 0.5145 0.2432  2 B 2.09
Rh: 0.9491 0.4485 0.1110  2 B 2.12
Rh: 0.3373 0.8366 0.8890  2 B 2.12

* formation energy from the elements: -0.619 eV per atom
* final energy: -7.37 eV per atom
* energy relative to the lowest polymorph listed for this composition: 0.000 eV per atom
* space group: C2/c, No. 15

# 8
The following is a GGA-PBE calculation of a geometry-optimized KTl2Ni2 structure, from the Alexandria database.

Lattice parameters (Å, degrees): 4.8162 4.8162 6.0599 66.59 66.59 90.00
Last column: nearest neighbours and their distance in Å.
Fractional coordinates of all 5 atoms:
Ni: 0.3832 0.3832 0.2335  1 Ni 2.34
Ni: 0.6168 0.6168 0.7665  1 Ni 2.34
Tl: 0.7500 0.2500 0.5000  4 Ni 2.75
Tl: 0.2500 0.7500 0.5000  4 Ni 2.75
K: 0.0000 0.0000 0.0000  8 Tl 3.48, 10 Ni 3.60-3.84

* formation energy from the elements: 0.272 eV per atom
* final energy: -3.21 eV per atom
* energy relative to the lowest polymorph listed for this composition: 0.137 eV per atom
* space group: I4/mmm, No. 139

# 9
The following is a GGA-PBE calculation of a geometry-optimized LaMgCdAg2 structure, from the Alexandria database.

Lattice parameters (Å, degrees): 4.9985 5.9454 4.9985 90.00 90.00 90.00
Last column: nearest neighbours and their distance in Å.
Fractional coordinates of all 5 atoms:
Mg: 0.0000 0.0000 0.0000  4 Ag 2.50
Cd: 0.5000 0.5000 0.5000  4 La 3.53, 8 Ag 3.88
Ag: 0.0000 0.0000 0.5000  2 Mg 2.50
Ag: 0.5000 0.0000 0.0000  2 Mg 2.50
La: 0.0000 0.5000 0.0000  2 Mg 2.97

* formation energy from the elements: 0.405 eV per atom
* final energy: -2.22 eV per atom
* space group: P4/mmm, No. 123

# 10
The following is a GGA-PBE calculation of a geometry-optimized HfAsW structure, from the Alexandria database.

Lattice parameters (Å, degrees): 3.9564 9.9125 5.3610 90.00 90.00 90.00
Last column: nearest neighbours and their distance in Å.
Fractional coordinates of all 12 atoms:
As: 0.0000 0.3898 0.2500  4 W 2.63, 4 Hf 2.75-2.81
As: 0.0000 0.6102 0.7500  4 W 2.63, 4 Hf 2.75-2.81
As: 0.5000 0.8898 0.2500  4 W 2.63, 4 Hf 2.75-2.81
As: 0.5000 0.1102 0.7500  4 W 2.63, 4 Hf 2.75-2.81
Hf: 0.0000 0.6965 0.2500  5 As 2.75-3.04, 4 W 3.08
Hf: 0.0000 0.3035 0.7500  5 As 2.75-3.04, 4 W 3.08
Hf: 0.5000 0.1965 0.2500  5 As 2.75-3.04, 4 W 3.08
Hf: 0.5000 0.8035 0.7500  5 As 2.75-3.04, 4 W 3.08
W: 0.0000 0.0000 0.0000  4 As 2.63, 2 W 2.68
W: 0.0000 0.0000 0.5000  4 As 2.63, 2 W 2.68
W: 0.5000 0.5000 0.0000  4 As 2.63, 2 W 2.68
W: 0.5000 0.5000 0.5000  4 As 2.63, 2 W 2.68

* formation energy from the elements: -0.396 eV per atom
* final energy: -9.58 eV per atom
* space group: Cmcm, No. 63

# 11
The following is a GGA-PBE calculation of a geometry-optimized ZrSiAs2 structure, from the Alexandria database.

Lattice parameters (Å, degrees): 3.7781 3.8629 5.5129 69.58 90.00 90.00
Last column: nearest neighbours and their distance in Å.
Fractional coordinates of all 4 atoms:
As: 0.0000 0.0008 0.9482  1 Si 2.37
As: 0.5000 0.2634 0.3653  2 Si 2.47
Si: 0.0000 0.6565 0.3982  3 As 2.37-2.47
Zr: 0.5000 0.5793 0.7882  2 Si 2.80, 7 As 2.82-2.98

* final energy: -6.45 eV per atom
* energy relative to the lowest polymorph listed for this composition: 0.000 eV per atom
* ΔE_f (raw): -633.3 meV/atom
* space group: Pm, No. 6

# 12
The following is a GGA-PBE calculation of a geometry-optimized Tl2CuHg4 structure, from the Alexandria database.

Lattice parameters (Å, degrees): 5.1418 5.1418 8.7993 73.01 73.01 90.00
Last column: nearest neighbours and their distance in Å.
Fractional coordinates of all 7 atoms:
Tl: 0.6402 0.6402 0.7195  5 Hg 3.09-3.41
Tl: 0.3598 0.3598 0.2805  5 Hg 3.09-3.41
Hg: 0.8332 0.8332 0.3335  1 Cu 2.67
Hg: 0.1668 0.1668 0.6665  1 Cu 2.67
Hg: 0.0000 0.5000 0.0000  2 Cu 2.57
Hg: 0.5000 0.0000 0.0000  2 Cu 2.57
Cu: 0.0000 0.0000 0.0000  6 Hg 2.57-2.67

* formation energy from the elements: 0.108 eV per atom
* final energy: -1.33 eV per atom
* space group: I4/mmm, No. 139

Q: The highest final energy belongs to which entry?
A: Tl2CuHg4